# Li3MnCr2O6, optimized geometry, DFT PBE with a Hubbard U
# relative energy among the computed polymorphs	0.0	meV/atom
# E	-163.0	eV/cell
data_Li3MnCr2O6
_chemical_formula_sum 'Li6 Mn2 Cr4 O12'
_cell_length_a 13.3522
_cell_length_b 2.9411
_cell_length_c 5.8964
_cell_angle_alpha 90.00
_cell_angle_beta 102.76
_cell_angle_gamma 90.00
_symmetry_space_group_name_H-M 'C 1 2/m 1'
_symmetry_Int_Tables_number 12
_symmetry_space_group_name_Hall '-C 2y'
loop_
_atom_site_label
_atom_site_type_symbol
_atom_site_fract_x
_atom_site_fract_y
_atom_site_fract_z
_atom_site_occupancy
Li1 Li 0.0000 0.0000 0.0000 1
Li2 Li 0.1746 0.5000 0.3423 1
Mn1 Mn 0.0000 0.0000 0.5000 1
Cr1 Cr 0.1698 0.5000 0.8310 1
O1 O 0.0112 0.5000 0.7352 1
O2 O 0.1677 0.0000 0.5972 1
O3 O 0.1734 0.0000 0.0703 1